Er9ScIn2 | the Alexandria database | GGA-PBE | optimized geometry; space-group type = No. 123; E_tot = -54.9 eV/f.u.; N(E_F) = 1.14 states/eV/atom
1.0
-1.125 -1.111 4.541
1.467 -4.519 -0.742
13.500 3.684 4.247
Er In Sc
9 2 1
direct
0.500 0.500 0.000 Er
0.000 0.500 0.168 Er
0.000 0.500 0.832 Er
0.500 0.000 0.168 Er
0.000 0.500 0.500 Er
0.500 0.500 0.335 Er
0.500 0.000 0.500 Er
0.500 0.000 0.832 Er
0.500 0.500 0.665 Er
0.000 0.000 0.337 In
0.000 0.000 0.663 In
0.000 0.000 0.000 Sc